# 1
This record from Alexandria via LeMat-Bulk describes a relaxed Nd2BePdO6 crystal. The functional is GGA-PBE.

extended XYZ file:
```
20
Lattice="5.430 0.000 0.000 0.000 5.501 0.000 -5.422 0.000 7.612" Properties=species:S:1:pos:R:3 pbc="T T T"
Nd -0.052 0.272 1.897
Nd -2.763 2.478 5.703
Nd 2.771 3.022 1.909
Nd 0.060 5.229 5.715
Be -2.711 0.000 3.806
Be 0.000 2.750 0.000
Pd 2.715 0.000 0.000
Pd 0.004 2.750 3.806
O -4.322 1.212 7.277
O -1.611 1.539 3.471
O -3.900 3.869 7.295
O -1.189 4.382 3.489
O -2.280 0.076 5.614
O 0.431 2.674 1.808
O -0.423 2.827 5.804
O 2.288 5.424 1.998
O 1.197 1.119 4.123
O 3.908 1.632 0.317
O 1.619 3.962 4.140
O 4.330 4.289 0.335
```

Formation energy (no corrections)   -22.5 eV per formula unit
E   -7.0670 eV per atom


# 2
This record from Alexandria via LeMat-Bulk describes a relaxed NdPuBe2O8 crystal. The functional is GGA-PBE.

extended XYZ file:
```
12
Lattice="5.241 0.000 0.000 -2.620 4.539 0.000 0.000 0.000 6.744" Properties=species:S:1:pos:R:3 pbc="T T T"
Nd 0.000 0.000 0.000
Pu 0.000 0.000 3.372
Be 0.000 3.026 1.571
Be 2.621 1.513 5.173
O 0.000 1.492 2.055
O -1.329 3.793 2.055
O 1.292 0.746 4.690
O 0.000 3.026 6.717
O 2.621 1.513 0.027
O 1.329 3.793 2.055
O 3.949 0.746 4.690
O 2.620 3.047 4.690
```

Formation energy (no corrections)   -25.4 eV per formula unit
E   -7.6374 eV per atom


# 3
This record from Alexandria via LeMat-Bulk describes a relaxed NdPuBeO6 crystal. The functional is GGA-PBE.

extended XYZ file:
```
9
Lattice="5.083 0.000 0.000 -2.542 4.402 0.000 0.000 0.000 5.235" Properties=species:S:1:pos:R:3 pbc="T T T"
Nd 0.000 0.000 0.000
Pu 0.000 2.935 2.618
Be 2.542 1.467 2.618
O 1.849 0.071 3.709
O 0.986 1.566 1.526
O 3.235 0.071 1.526
O 1.679 2.766 3.709
O 4.098 1.566 3.709
O 3.405 2.766 1.526
```

Formation energy (no corrections)   -22.9 eV per formula unit
E   -8.3841 eV per atom